VASP calculation (GGA-PBE) on a geometry-optimized Y2Cd2H structure.

The crystal system is tetragonal. The volume comes out at 235.94 Å³ per cell. The calculation puts the density of states at the Fermi level at 7.1 states/eV/cell. The total energy comes out at -3.80 eV per atom.

a b c (Å): 6.653 6.653 5.331
angles (deg): 90.00 90.00 90.00
Element x y z (fractional)
Y 0.329 0.829 0.000
Y 0.829 0.671 0.000
Y 0.671 0.171 0.000
Y 0.171 0.329 0.000
H 0.000 0.000 0.000
H 0.500 0.500 0.000
Cd 0.151 0.651 0.500
Cd 0.651 0.849 0.500
Cd 0.849 0.349 0.500
Cd 0.349 0.151 0.500